This record from Alexandria via LeMat-Bulk describes an optimized crystal structure of SrV3O9. The functional is GGA+U.

ρ in g/cm³: 2.7
Uncorrected energy in eV per atom: -7.21

a = 9.2729 Å, b = 12.6388 Å, c = 8.0744 Å
α = 90.00°, β = 90.00°, γ = 90.00°
Space group C222_1 (No. 20)
Symmetry-distinct sites (fractional):
Sr 0.1129 0.0000 0.0000 [4 per cell]
V 0.0157 0.3158 0.4690 [8 per cell]
V 0.2504 0.0000 0.5000 [4 per cell]
O 0.0000 0.3311 0.2500 [4 per cell]
O 0.0010 0.1866 0.5183 [8 per cell]
O 0.1341 0.3894 0.9494 [8 per cell]
O 0.1436 0.0170 0.6672 [8 per cell]
O 0.1744 0.3677 0.5317 [8 per cell]